Here is Pm4Nd8Er3 after structural relaxation from Alexandria. Energies are from GGA-PBE.

Cell and atoms, written as POSCAR:
```
Pm4Nd8Er3
1.0
6.2179 0.0000 3.3535
2.2047 5.8140 3.3535
-2.6222 -1.8100 12.3033
Pm Nd Er
4 8 3
Direct
0.0000 0.0000 0.0000 Pm
0.3360 0.3360 0.9919 Pm
0.5000 0.5000 0.5000 Pm
0.6640 0.6640 0.0081 Pm
0.2454 0.2454 0.2639 Nd
0.2470 0.7496 0.2539 Nd
0.7496 0.7496 0.2539 Nd
0.7496 0.2470 0.2539 Nd
0.7546 0.7546 0.7361 Nd
0.7530 0.2504 0.7461 Nd
0.2504 0.2504 0.7461 Nd
0.2504 0.7530 0.7461 Nd
0.5000 0.0000 0.5000 Er
0.0000 0.0000 0.5000 Er
0.0000 0.5000 0.5000 Er
```

## Properties
calculated formation energy	0.1248	eV/atom
density of states at the Fermi level	23.807	states/eV/cell
energy above the most stable polymorph in this dataset	0.000	eV per atom